Entry from the Alexandria database: a relaxed structure of LaZr3Ga (PBE).

The calculation puts the energy at -5.503 eV per atom.

The space group is Pm-3m (No. 221) and the conventional cell measures 5.119, 5.119 and 5.119 Å, with angles of 90.00, 90.00 and 90.00 degrees. The inequivalent atoms are La at (0.000, 0.000, 0.000), Zr at (0.000, 0.000, 0.500) and Ga at (0.500, 0.500, 0.500).

Entry from the Alexandria database: a relaxed structure of PmPr3Nd4 (PBE).

The calculation puts the energy at -4.737 eV per atom.

The space group is Pmn2_1 (No. 31) and the conventional cell measures 11.990, 7.437 and 6.428 Å, with angles of 90.00, 90.00 and 90.00 degrees. The inequivalent atoms are Pm at (0.000, 0.125, 0.000), Pr at (0.000, 0.875, 0.500), Pr at (0.250, 0.126, 0.667), Nd at (0.000, 0.376, 0.500), Nd at (0.000, 0.624, 0.999) and Nd at (0.249, 0.375, 0.168).

Entry from the Alexandria database: a relaxed structure of Tl2AuI4 (PBE).

The raw formation energy comes out at -313 meV per atom. The calculation puts the energy at -2.343 eV per atom.

The space group is C2/m (No. 12) and the conventional cell measures 16.483, 4.762 and 8.430 Å, with angles of 90.00, 118.02 and 90.00 degrees. The inequivalent atoms are Tl at (0.224, 0.000, 0.226), Au at (0.000, 0.500, 0.500), I at (0.100, 0.500, 0.322) and I at (0.123, 0.000, 0.757).

Entry from the Alexandria database: a relaxed structure of Pu8OsPt5 (PBE).

The calculation puts the energy at -11.673 eV per atom.

The space group is I-4 (No. 82) and the conventional cell measures 8.597, 8.597 and 8.690 Å, with angles of 90.00, 90.00 and 90.00 degrees. The inequivalent atoms are Pu at (0.067, 0.175, 0.300), Pu at (0.072, 0.313, 0.947), Os at (0.000, 0.000, 0.000), Pt at (0.000, 0.500, 0.250) and Pt at (0.123, 0.253, 0.621).

Entry from the Alexandria database: a relaxed structure of Sc2VC2 (PBE).

The calculation puts the energy at -7.609 eV per atom.

The space group is I4/mmm (No. 139) and the conventional cell measures 3.702, 3.702 and 9.432 Å, with angles of 90.00, 90.00 and 90.00 degrees. The inequivalent atoms are Sc at (0.000, 0.500, 0.250), V at (0.000, 0.000, 0.000) and C at (0.000, 0.000, 0.426).

Entry from the Alexandria database: a relaxed structure of TbPrPd (PBE).

The calculation puts the energy at -5.354 eV per atom.

The space group is C2/m (No. 12) and the conventional cell measures 12.963, 3.618 and 7.318 Å, with angles of 90.00, 106.66 and 90.00 degrees. The inequivalent atoms are Tb at (0.137, 0.000, 0.069), Pr at (0.138, 0.000, 0.568) and Pd at (0.002, 0.500, 0.223).